Entry 1:
The following is a PBE calculation of an optimized crystal structure of CsLi5, from Alexandria.

Unit cell a=8.9479 b=8.9479 c=3.7219 alpha=90.00 beta=90.00 gamma=140.95
With the nearest neighbours (Å) after each atom.
Atoms (fractional coordinates):
Cs 0.0000 0.0000 0.0000  4 Li 3.52, 2 Cs 3.72
Li 0.2083 0.7917 0.5000  4 Li 2.96-3.30
Li 0.3450 0.6550 0.0000  4 Li 2.96-3.21
Li 0.5000 0.5000 0.5000  4 Li 3.21, 4 Cs 3.52
Li 0.6550 0.3450 0.0000  4 Li 2.96-3.21
Li 0.7917 0.2083 0.5000  4 Li 2.96-3.30

## Properties
The energy comes out at -1.525 eV/atom. The calculation puts the energy of formation at 0.21 eV/atom. The crystal system is orthorhombic.

Entry 2:
The following is a PBE calculation of an optimized crystal structure of Rb3Y2MnSe6, from Alexandria.

Unit cell a=7.1362 b=7.1362 c=8.3664 alpha=99.07 beta=99.07 gamma=118.11
With the nearest neighbours (Å) after each atom.
Atoms (fractional coordinates):
Rb 0.0000 0.0000 0.0000  6 Se 3.40-3.41
Rb 0.3272 0.6728 0.0000  6 Se 3.37-3.57
Rb 0.6728 0.3272 0.0000  6 Se 3.37-3.57
Y 0.1625 0.8375 0.5000  6 Se 2.84-2.96
Y 0.8375 0.1625 0.5000  6 Se 2.84-2.96
Mn 0.5000 0.5000 0.5000  4 Se 2.59
Se 0.1365 0.4411 0.3192  1 Mn 2.59, 1 Y 2.90
Se 0.2340 0.2340 0.7064  2 Y 2.84, 1 Mn 2.98
Se 0.4411 0.1365 0.3192  1 Mn 2.59, 1 Y 2.90
Se 0.5589 0.8635 0.6808  1 Mn 2.59, 1 Y 2.90
Se 0.7660 0.7660 0.2936  2 Y 2.84, 1 Mn 2.98
Se 0.8635 0.5589 0.6808  1 Mn 2.59, 1 Y 2.90

## Properties
The energy comes out at -5.183 eV/atom. The crystal system is monoclinic.

Entry 3:
The following is a PBE calculation of an optimized crystal structure of TaSeCl3, from Alexandria.

Unit cell a=4.8526 b=4.8526 c=4.8526 alpha=90.00 beta=90.00 gamma=90.00
With the nearest neighbours (Å) after each atom.
Atoms (fractional coordinates):
Ta 0.0000 0.0000 0.0000  6 Cl 2.43
Se 0.5000 0.5000 0.5000  12 Cl 3.43
Cl 0.0000 0.0000 0.5000  2 Ta 2.43
Cl 0.0000 0.5000 0.0000  2 Ta 2.43
Cl 0.5000 0.0000 0.0000  2 Ta 2.43

## Properties
The energy comes out at -4.280 eV/atom. The crystal system is cubic.

Entry 4:
The following is a PBE calculation of an optimized crystal structure of NaTcO3, from Alexandria.

Unit cell a=10.3021 b=10.3021 c=10.3021 alpha=158.65 beta=158.65 gamma=30.37
With the nearest neighbours (Å) after each atom.
Atoms (fractional coordinates):
Na 0.1018 0.1018 0.0000  8 O 2.61-2.80
Na 0.8982 0.8982 0.0000  8 O 2.61-2.80
Tc 0.5000 0.5000 0.0000  4 O 1.91
Tc 0.7500 0.2500 0.5000  4 O 1.92
O 0.0009 0.5009 0.5000  2 Tc 1.91
O 0.1232 0.3283 0.7949  1 O 1.57
O 0.4991 0.9991 0.5000  2 Tc 1.91
O 0.5335 0.3283 0.2051  1 O 1.57
O 0.6717 0.4665 0.7949  1 O 1.57
O 0.6717 0.8768 0.2051  1 O 1.57

## Properties
The energy comes out at -6.113 eV/atom. The crystal system is tetragonal.

Entry 5:
The following is a PBE calculation of an optimized crystal structure of Mg4AlCo, from Alexandria.

Unit cell a=5.4921 b=5.4921 c=5.4921 alpha=60.00 beta=60.00 gamma=60.00
With the nearest neighbours (Å) after each atom.
Atoms (fractional coordinates):
Mg 0.1254 0.1254 0.1254  6 Mg 2.74-2.75
Mg 0.1254 0.1254 0.6239  6 Mg 2.74-2.75
Mg 0.1254 0.6239 0.1254  6 Mg 2.74-2.75
Mg 0.6239 0.1254 0.1254  6 Mg 2.74-2.75
Al 0.7500 0.7500 0.7500  12 Mg 3.22, 4 Co 3.36
Co 0.5000 0.5000 0.5000  12 Mg 3.22, 4 Al 3.36

## Properties
The energy comes out at -2.422 eV/atom. The calculation puts the energy of formation at 0.45 eV/atom. The crystal system is cubic.

Entry 6:
The following is a PBE calculation of an optimized crystal structure of Li3Pt, from Alexandria.

Unit cell a=4.5516 b=4.5516 c=2.8595 alpha=90.00 beta=90.00 gamma=107.85
With the nearest neighbours (Å) after each atom.
Atoms (fractional coordinates):
Li 0.0000 0.0000 0.0000  2 Pt 2.68, 10 Li 2.69-2.86
Li 0.0000 0.5000 0.5000  8 Li 2.68-2.86, 4 Pt 2.69
Li 0.5000 0.0000 0.5000  8 Li 2.68-2.86, 4 Pt 2.69
Pt 0.5000 0.5000 0.0000  10 Li 2.68-2.69, 2 Pt 2.86

## Properties
The energy comes out at -3.330 eV/atom. For the distance to the lowest polymorph of the same formula, the calculation gives 38 meV/atom. The calculation puts the energy of formation at -0.38 eV/atom. The crystal system is orthorhombic.